Record 1
First-principles (GGA-PBE) data for a relaxed structure of K2RbBaI5, as listed in Alexandria.

Calculated values
Total magnetization   0.0 μB/f.u.
DFT total energy   -2.845 eV per atom
Space group   P4/mmm
Formation energy without anion corrections   -1.419 eV per atom

Cell: 6.5810 6.5810 13.5631 Å, 90.00 90.00 90.00°
Fractional positions:
K 0.5000 0.5000 0.2681
K 0.5000 0.5000 0.7319
Rb 0.0000 0.0000 0.0000
Ba 0.0000 0.0000 0.5000
I 0.0000 0.5000 0.5000
I 0.5000 0.0000 0.5000
I 0.0000 0.0000 0.7497
I 0.0000 0.0000 0.2503
I 0.5000 0.5000 0.0000



Record 2
First-principles (GGA-PBE) data for a relaxed structure of Nd3Sm7Y2, as listed in Alexandria.

Calculated values
Total magnetization   0.0 μB/f.u.
Relative energy among the computed polymorphs   11 meV/atom
Energy relative to the elements   1.0 eV/f.u.
DFT total energy   -4.936 eV per atom
Space group   P2/m

Cell: 3.6156 5.9416 19.1737 Å, 93.08 90.00 90.00°
Fractional positions:
Nd 0.5000 0.5000 0.0000
Nd 0.0000 0.2208 0.3670
Nd 0.0000 0.7792 0.6330
Sm 0.5000 0.7432 0.4640
Sm 0.5000 0.2568 0.5360
Sm 0.0000 0.6888 0.1440
Sm 0.0000 0.0000 0.0000
Sm 0.0000 0.3112 0.8560
Sm 0.5000 0.8092 0.8208
Sm 0.5000 0.1908 0.1792
Y 0.5000 0.7113 0.2945
Y 0.5000 0.2887 0.7055



Question: What is the total magnetization in the first record?
Answer: 0.0 μB/f.u.



Question: Among the records above, which one has the lowest DFT total energy?
Answer: Nd3Sm7Y2



Question: Number 1 is which compound?
Answer: K2RbBaI5